# 1
An optimized crystal structure of ZnAgIr2. Source: Alexandria, functional PBE.

Cell and atoms, written as CIF:
```
data_ZnAgIr2
_chemical_formula_sum 'Zn2 Ag2 Ir4'
_symmetry_space_group_name_H-M 'C 1 2/m 1'
_symmetry_Int_Tables_number 12
_cell_length_a 9.5237
_cell_length_b 2.7911
_cell_length_c 4.7124
_cell_angle_alpha 90.00
_cell_angle_beta 105.14
_cell_angle_gamma 90.00
loop_
_symmetry_equiv_pos_as_xyz
'x,y,z'
'-x,-y,-z'
'-x,y,-z'
'x,-y,z'
'x+1/2,y+1/2,z'
'-x+1/2,-y+1/2,-z'
'-x+1/2,y+1/2,-z'
'x+1/2,-y+1/2,z'
loop_
_atom_site_label
_atom_site_type_symbol
_atom_site_fract_x
_atom_site_fract_y
_atom_site_fract_z
Zn1 Zn 0.0000 0.0000 0.0000
Ag1 Ag 0.0000 0.5000 0.5000
Ir1 Ir 0.2333 0.5000 0.2337
```

Output
For the formation energy, the calculation gives 0.0872 eV per atom. Its crystal system is monoclinic.



# 2
An optimized crystal structure of LaMoRh3. Source: Alexandria, functional PBE.

Cell and atoms, written as CIF:
```
data_LaMoRh3
_chemical_formula_sum 'La1 Mo1 Rh3'
_symmetry_space_group_name_H-M 'P m -3 m'
_symmetry_Int_Tables_number 221
_symmetry_space_group_name_Hall '-P 4 2 3'
_cell_length_a 4.7939
_cell_length_b 4.7939
_cell_length_c 4.7939
_cell_angle_alpha 90.00
_cell_angle_beta 90.00
_cell_angle_gamma 90.00
loop_
_atom_site_label
_atom_site_type_symbol
_atom_site_fract_x
_atom_site_fract_y
_atom_site_fract_z
La1 La 0.0000 0.0000 0.0000
Mo1 Mo 0.5000 0.5000 0.5000
Rh1 Rh 0.0000 0.0000 0.5000
```

Output
For the formation energy, the calculation gives 1.6504 eV per atom. Its crystal system is cubic. The value obtained for the relative energy among the computed polymorphs is 715 kJ/mol of formula units.



# 3
An optimized crystal structure of SrGe3Pt. Source: Alexandria, functional PBE.

Cell and atoms, written as CIF:
```
data_SrGe3Pt
_chemical_formula_sum 'Sr2 Ge6 Pt2'
_symmetry_space_group_name_H-M 'P 63/m m c'
_symmetry_Int_Tables_number 194
_symmetry_space_group_name_Hall '-P 6c 2c'
_cell_length_a 6.2364
_cell_length_b 6.2364
_cell_length_c 6.3587
_cell_angle_alpha 90.00
_cell_angle_beta 90.00
_cell_angle_gamma 120.00
loop_
_atom_site_label
_atom_site_type_symbol
_atom_site_fract_x
_atom_site_fract_y
_atom_site_fract_z
Sr1 Sr 0.3333 0.6667 0.2500
Ge1 Ge 0.1932 0.3864 0.7500
Pt1 Pt 0.0000 0.0000 0.0000
```

Output
For the formation energy, the calculation gives -0.4138 eV per atom. Its crystal system is hexagonal.



# 4
An optimized crystal structure of LaDyMgCd. Source: Alexandria, functional PBE.

Cell and atoms, written as CIF:
```
data_LaDyMgCd
_chemical_formula_sum 'La4 Dy4 Mg4 Cd4'
_symmetry_space_group_name_H-M 'F -4 3 m'
_symmetry_Int_Tables_number 216
_symmetry_space_group_name_Hall 'F -4 2 3'
_cell_length_a 7.7125
_cell_length_b 7.7125
_cell_length_c 7.7125
_cell_angle_alpha 90.00
_cell_angle_beta 90.00
_cell_angle_gamma 90.00
loop_
_atom_site_label
_atom_site_type_symbol
_atom_site_fract_x
_atom_site_fract_y
_atom_site_fract_z
La1 La 0.0000 0.0000 0.0000
Dy1 Dy 0.0000 0.0000 0.5000
Mg1 Mg 0.2500 0.2500 0.7500
Cd1 Cd 0.2500 0.2500 0.2500
```

Output
For the formation energy, the calculation gives -0.1994 eV per atom. Its crystal system is cubic. The value obtained for the relative energy among the computed polymorphs is 2 kJ/mol of formula units.